(1)
Material: KSc2Al2
Method: DFT, GGA-PBE
State: optimized geometry

Lattice parameters (Å, degrees): 7.5512 7.5512 7.5512 144.63 144.63 50.88
Closest atoms and distances in Å follow each position.
Atoms (fractional coordinates):
K  0.0000  0.0000  0.0000  8 Sc 3.69, 8 Al 4.11
Sc  0.3709  0.3709  0.0000  4 Al 2.83
Sc  0.6291  0.6291  0.0000  4 Al 2.83
Al  0.2500  0.7500  0.5000  4 Sc 2.83
Al  0.7500  0.2500  0.5000  4 Sc 2.83

=====

(2)
Material: K2ScAl
Method: DFT, GGA-PBE
State: optimized geometry

Lattice parameters (Å, degrees): 13.0426 13.0426 13.0426 15.38 15.38 15.38
Closest atoms and distances in Å follow each position.
Atoms (fractional coordinates):
K  0.2431  0.2431  0.2431  6 K 3.49, 3 Al 3.58
K  0.7569  0.7569  0.7569  6 K 3.49, 3 Al 3.58
Sc  0.0000  0.0000  0.0000  6 Sc 3.49
Al  0.5000  0.5000  0.5000  6 Al 3.49, 6 K 3.58

=====

(3)
Material: K2ScAl
Method: DFT, GGA-PBE
State: optimized geometry

Lattice parameters (Å, degrees): 3.3087 3.3087 12.8955 90.00 90.00 108.17
Closest atoms and distances in Å follow each position.
Atoms (fractional coordinates):
K  0.0000  0.0000  0.2328  4 K 3.31, 2 Al 3.57
K  0.0000  0.0000  0.7672  4 K 3.31, 2 Al 3.57
Sc  0.5000  0.5000  0.5000  4 Sc 3.31
Al  0.5000  0.5000  0.0000  4 Al 3.31, 4 K 3.57

=====

The evaluated energy of formation for the records listed, in turn: 0.39; 0.60; 0.62 eV per atom.
The evaluated total magnetic moment for the records listed, in turn: 0.00; 1.07; 0.00 μB/cell.